VASP calculation (PBE) on a geometry-optimized ZrSiHg structure.

## Properties
ΔE_f (raw): -0.1151 eV per atom
V: 60.6 Å³ per cell
Energy relative to the lowest polymorph listed for this composition: 0.0 meV per atom

Cell: 4.1589 4.1589 4.0435 Å, 90.00 90.00 120.00°
Last column: nearest neighbours and their distance in Å.
Element x y z (fractional)
Zr 0.0000 0.0000 0.0000  3 Si 2.78, 3 Hg 2.97
Si 0.6667 0.3333 0.6558  3 Hg 2.57, 3 Zr 2.78
Hg 0.3333 0.6667 0.4321  3 Si 2.57



VASP calculation (PBE) on a geometry-optimized AcSe2O8F structure.

## Properties
ΔE_f (raw): -1.1221 eV per atom
V: 177.7 Å³ per cell

Cell: 6.4293 6.4293 5.0136 Å, 104.85 104.85 64.10°
Last column: nearest neighbours and their distance in Å.
Element x y z (fractional)
Ac 0.0000 0.0000 0.0000  6 O 2.51-2.73
Se 0.2986 0.2986 0.7095  4 O 1.65-1.72
Se 0.7014 0.7014 0.2905  4 O 1.65-1.72
O 0.1364 0.1364 0.6243  1 Se 1.69
O 0.1601 0.5612 0.8818  1 Se 1.65
O 0.3245 0.3245 0.3877  1 Se 1.72, 1 F 1.82
O 0.4388 0.8399 0.1182  1 Se 1.65
O 0.5612 0.1601 0.8818  1 Se 1.65
O 0.6755 0.6755 0.6123  1 Se 1.72, 1 F 1.82
O 0.8399 0.4388 0.1182  1 Se 1.65
O 0.8636 0.8636 0.3757  1 Se 1.69
F 0.5000 0.5000 0.5000  2 O 1.82



VASP calculation (PBE) on a geometry-optimized Cr4RuW structure.

## Properties
Uncorrected energy: -10.058 eV per atom
V: 76.7 Å³ per cell

Cell: 4.7689 4.7689 4.7689 Å, 60.00 60.00 60.00°
Last column: nearest neighbours and their distance in Å.
Element x y z (fractional)
Cr 0.3765 0.3765 0.3765  6 Cr 2.36-2.41
Cr 0.3765 0.3765 0.8704  6 Cr 2.36-2.41
Cr 0.3765 0.8704 0.3765  6 Cr 2.36-2.41
Cr 0.8704 0.3765 0.3765  6 Cr 2.36-2.41
Ru 0.0000 0.0000 0.0000  12 Cr 2.80, 4 W 2.92
W 0.7500 0.7500 0.7500  12 Cr 2.79, 4 Ru 2.92



VASP calculation (PBE) on a geometry-optimized KBaSr2Pt structure.

## Properties
V: 237.0 Å³ per cell
Energy relative to the lowest polymorph listed for this composition: 195.1 meV per atom

Cell: 6.0076 6.0076 6.5669 Å, 90.00 90.00 90.00°
Last column: nearest neighbours and their distance in Å.
Element x y z (fractional)
K 0.0000 0.0000 0.0000  2 Pt 3.28
Ba 0.5000 0.5000 0.0000  4 K 4.25, 8 Sr 4.45
Sr 0.0000 0.5000 0.5000  2 Pt 3.00
Sr 0.5000 0.0000 0.5000  2 Pt 3.00
Pt 0.0000 0.0000 0.5000  4 Sr 3.00, 2 K 3.28



VASP calculation (PBE) on a geometry-optimized Ba2Li5Hg3 structure.

## Properties
Uncorrected energy: -1.735 eV per atom
V: 539.0 Å³ per cell

Cell: 13.7692 13.7692 8.1883 Å, 90.00 90.00 159.68°
Last column: nearest neighbours and their distance in Å.
Element x y z (fractional)
Ba 0.0193 0.9807 0.5000  5 Li 3.47-3.85, 6 Hg 3.58-3.75
Ba 0.3415 0.6585 0.0306  8 Li 3.61-4.00, 5 Hg 3.67-3.81
Ba 0.6585 0.3415 0.5306  8 Li 3.61-4.00, 5 Hg 3.67-3.81
Ba 0.9807 0.0193 0.0000  5 Li 3.47-3.85, 6 Hg 3.58-3.75
Li 0.1187 0.8813 0.1648  3 Hg 2.81-2.94, 2 Li 2.88
Li 0.2096 0.7904 0.9169  4 Hg 2.84-3.03, 5 Li 3.03-3.11
Li 0.2318 0.7682 0.2796  3 Hg 2.80-2.82, 3 Li 3.03-3.11
Li 0.3534 0.6466 0.4990  4 Hg 2.72-3.01, 5 Li 2.83-3.04
Li 0.4443 0.5557 0.3286  3 Hg 2.82-3.06, 1 Li 2.83
Li 0.5557 0.4443 0.8286  3 Hg 2.82-3.06, 1 Li 2.83
Li 0.6466 0.3534 0.9990  4 Hg 2.72-3.01, 5 Li 2.83-3.04
Li 0.7682 0.2318 0.7796  3 Hg 2.80-2.82, 3 Li 3.03-3.11
Li 0.7904 0.2096 0.4169  4 Hg 2.84-3.03, 5 Li 3.03-3.11
Li 0.8813 0.1187 0.6648  3 Hg 2.81-2.94, 2 Li 2.88
Hg 0.1084 0.8916 0.8234  6 Li 2.81-3.01
Hg 0.2591 0.7409 0.6116  7 Li 2.72-3.03
Hg 0.4412 0.5588 0.7020  4 Li 2.90-3.06
Hg 0.5588 0.4412 0.2020  4 Li 2.90-3.06
Hg 0.7409 0.2591 0.1116  7 Li 2.72-3.03
Hg 0.8916 0.1084 0.3234  6 Li 2.81-3.01



VASP calculation (PBE) on a geometry-optimized H2AuSe2 structure.

## Properties
V: 201.1 Å³ per cell
Energy relative to the lowest polymorph listed for this composition: 0.0 meV per atom

Cell: 4.4424 5.6852 8.2640 Å, 78.10 87.33 80.04°
Last column: nearest neighbours and their distance in Å.
Element x y z (fractional)
H 0.0244 0.1406 0.1880  1 Se 1.56
H 0.2287 0.4522 0.2530  1 Se 1.64
H 0.7713 0.5478 0.7470  1 Se 1.64
H 0.9756 0.8594 0.8120  1 Se 1.56
Au 0.3117 0.0493 0.7096  1 H 2.04
Au 0.6883 0.9507 0.2904  1 H 2.04
Se 0.1268 0.6600 0.4211  1 H 1.99
Se 0.3057 0.2640 0.1244  2 H 1.56-1.64
Se 0.6943 0.7360 0.8756  2 H 1.56-1.64
Se 0.8732 0.3400 0.5789  1 H 1.99



VASP calculation (PBE) on a geometry-optimized NaInGa2Br structure.

## Properties
ΔE_f (raw): 0.2187 eV per atom
V: 161.0 Å³ per cell

Cell: 5.5522 5.5522 5.2234 Å, 90.00 90.00 90.00°
Last column: nearest neighbours and their distance in Å.
Element x y z (fractional)
Na 0.0000 0.0000 0.0000  2 Br 2.61, 4 Ga 2.78
In 0.5000 0.5000 0.5000  8 Ga 3.81, 4 Br 3.93
Ga 0.0000 0.5000 0.0000  2 Na 2.78
Ga 0.5000 0.0000 0.0000  2 Na 2.78
Br 0.0000 0.0000 0.5000  2 Na 2.61



VASP calculation (PBE) on a geometry-optimized BaIn2Os structure.

## Properties
Uncorrected energy: -4.343 eV per atom
V: 106.1 Å³ per cell

Cell: 3.6289 3.6289 8.0545 Å, 90.00 90.00 90.00°
Last column: nearest neighbours and their distance in Å.
Element x y z (fractional)
Ba 0.0000 0.0000 0.0000  1 In 3.34, 4 Os 3.47, 4 Ba 3.63
In 0.0000 0.0000 0.5854  4 Os 2.76
In 0.5000 0.5000 0.3469  1 Os 2.93, 4 In 3.21
Os 0.5000 0.5000 0.7104  5 In 2.76-2.93



Among the records above, which one has the lowest V? ZrSiHg